No. 1
First-principles (GGA-PBE) data for a relaxed structure of LaTb5Ga4, as listed in the Alexandria database.

Cell and atoms, written as CIF:
```
data_LaTb5Ga4
_cell_length_a 17.6895
_cell_length_b 3.7610
_cell_length_c 8.7843
_cell_angle_alpha 90.00
_cell_angle_beta 98.68
_cell_angle_gamma 90.00
_symmetry_space_group_name_H-M 'C 1 2/m 1'
_symmetry_Int_Tables_number 12
loop_
_symmetry_equiv_pos_as_xyz
'x,y,z'
'-x,-y,-z'
'-x,y,-z'
'x,-y,z'
'x+1/2,y+1/2,z'
'-x+1/2,-y+1/2,-z'
'-x+1/2,y+1/2,-z'
'x+1/2,-y+1/2,z'
loop_
_atom_site_label
_atom_site_fract_x
_atom_site_fract_y
_atom_site_fract_z
La1 0.0000 0.0000 0.0000
Tb1 0.0000 0.0000 0.5000
Tb2 0.1468 0.5000 0.7649
Tb3 0.1908 0.5000 0.3274
Ga1 0.0275 0.5000 0.2717
Ga2 0.1925 0.0000 0.0432
```

ΔH_f (0 K), eV/atom: -0.259
Final energy, eV/atom: -4.277

=====

No. 2
First-principles (GGA-PBE) data for a relaxed structure of LaTb2Ga2, as listed in the Alexandria database.

Cell and atoms, written as CIF:
```
data_LaTb2Ga2
_cell_length_a 12.7678
_cell_length_b 3.8257
_cell_length_c 5.8836
_cell_angle_alpha 90.00
_cell_angle_beta 102.49
_cell_angle_gamma 90.00
_symmetry_space_group_name_H-M 'C 1 2/m 1'
_symmetry_Int_Tables_number 12
loop_
_symmetry_equiv_pos_as_xyz
'x,y,z'
'-x,-y,-z'
'-x,y,-z'
'x,-y,z'
'x+1/2,y+1/2,z'
'-x+1/2,-y+1/2,-z'
'-x+1/2,y+1/2,-z'
'x+1/2,-y+1/2,z'
loop_
_atom_site_label
_atom_site_fract_x
_atom_site_fract_y
_atom_site_fract_z
La1 0.0000 0.0000 0.0000
Tb1 0.1388 0.5000 0.5687
Ga1 0.2093 0.5000 0.1124
```

ΔH_f (0 K), eV/atom: -0.383
ΔE to the lowest computed polymorph, eV per formula unit: 0.33
Final energy, eV/atom: -4.432

=====

No. 3
First-principles (GGA-PBE) data for a relaxed structure of La2TbGa6, as listed in the Alexandria database.

Cell and atoms, written as CIF:
```
data_La2TbGa6
_cell_length_a 7.4316
_cell_length_b 7.4316
_cell_length_c 4.3617
_cell_angle_alpha 90.00
_cell_angle_beta 90.00
_cell_angle_gamma 120.00
_symmetry_space_group_name_H-M 'P 6/m m m'
_symmetry_Int_Tables_number 191
_symmetry_space_group_name_Hall '-P 6 2'
loop_
_atom_site_label
_atom_site_fract_x
_atom_site_fract_y
_atom_site_fract_z
La1 0.3333 0.6667 0.0000
Tb1 0.0000 0.0000 0.0000
Ga1 0.0000 0.3308 0.5000
```

ΔH_f (0 K), eV/atom: -0.678
Final energy, eV/atom: -4.305

=====

No. 4
First-principles (GGA-PBE) data for a relaxed structure of La2Tb2Ga3, as listed in the Alexandria database.

Cell and atoms, written as CIF:
```
data_La2Tb2Ga3
_cell_length_a 13.4700
_cell_length_b 4.3261
_cell_length_c 7.5759
_cell_angle_alpha 90.00
_cell_angle_beta 119.37
_cell_angle_gamma 90.00
_symmetry_space_group_name_H-M 'C 1 2/m 1'
_symmetry_Int_Tables_number 12
loop_
_symmetry_equiv_pos_as_xyz
'x,y,z'
'-x,-y,-z'
'-x,y,-z'
'x,-y,z'
'x+1/2,y+1/2,z'
'-x+1/2,-y+1/2,-z'
'-x+1/2,y+1/2,-z'
'x+1/2,-y+1/2,z'
loop_
_atom_site_label
_atom_site_fract_x
_atom_site_fract_y
_atom_site_fract_z
La1 0.1179 0.0000 0.2952
Tb1 0.1601 0.0000 0.7831
Ga1 0.0000 0.5000 0.5000
Ga2 0.0830 0.5000 0.9617
```

ΔH_f (0 K), eV/atom: -0.454
Final energy, eV/atom: -4.482

=====

- Among the records above, which one has the lowest final energy?
  La2Tb2Ga3

=====

- Which of these has the lowest ΔH_f (0 K)?
  La2TbGa6

=====

Copy entry 4 word for word.
First-principles (GGA-PBE) data for a relaxed structure of La2Tb2Ga3, as listed in the Alexandria database.

Cell and atoms, written as CIF:
```
data_La2Tb2Ga3
_cell_length_a 13.4700
_cell_length_b 4.3261
_cell_length_c 7.5759
_cell_angle_alpha 90.00
_cell_angle_beta 119.37
_cell_angle_gamma 90.00
_symmetry_space_group_name_H-M 'C 1 2/m 1'
_symmetry_Int_Tables_number 12
loop_
_symmetry_equiv_pos_as_xyz
'x,y,z'
'-x,-y,-z'
'-x,y,-z'
'x,-y,z'
'x+1/2,y+1/2,z'
'-x+1/2,-y+1/2,-z'
'-x+1/2,y+1/2,-z'
'x+1/2,-y+1/2,z'
loop_
_atom_site_label
_atom_site_fract_x
_atom_site_fract_y
_atom_site_fract_z
La1 0.1179 0.0000 0.2952
Tb1 0.1601 0.0000 0.7831
Ga1 0.0000 0.5000 0.5000
Ga2 0.0830 0.5000 0.9617
```

ΔH_f (0 K), eV/atom: -0.454
Final energy, eV/atom: -4.482